Entry from Alexandria via LeMat-Bulk: a relaxed structure of Be2WSe (GGA-PBE).

Lattice parameters (Å, degrees): 2.9454 2.9454 21.8106 90.00 90.00 120.00
Closest atoms and distances in Å follow each position.
Space group R-3m (No. 166, hexagonal axes)
Inequivalent atoms, fractional coordinates:
1 Be 0.0000 0.0000 0.2434  3 Se 2.39, 3 W 2.60
2 W 0.0000 0.0000 0.0000  6 Be 2.60
3 Se 0.0000 0.0000 0.5000  6 Be 2.39

Calculated values
The uncorrected formation energy is 44 kJ per mole of atoms. The value obtained for the density of states at the Fermi level is 6.23 states/eV/cell.